Entry 1:
A plane-wave DFT calculation with GGA-PBEsol was carried out for a relaxed structure of Sr4Mg3.

Lattice parameters (Å, degrees): 4.030 4.030 16.652 96.95 96.95 90.00
Fractional coordinates of all 7 atoms:
Mg: 0.728 0.728 0.456
Mg: 0.000 0.000 0.000
Mg: 0.272 0.272 0.544
Sr: 0.435 0.435 0.871
Sr: 0.161 0.161 0.321
Sr: 0.839 0.839 0.679
Sr: 0.565 0.565 0.129

Summary:
density = 2638 kg/m³
magnetization = 0.00 μB/f.u.
SG = I4/mmm, No. 139
energy of formation from the pure elements = -0.02 eV per atom
final energy = -12.7 eV for the cell shown

---

Entry 2:
A plane-wave DFT calculation with GGA-PBEsol was carried out for a relaxed structure of Sr3Mg.

Lattice parameters (Å, degrees): 4.327 6.364 7.436 115.34 106.92 90.00
Fractional coordinates of all 4 atoms:
Sr: 0.281 0.366 0.562
Sr: 0.500 0.083 0.000
Sr: 0.719 0.804 0.438
Mg: 0.000 0.581 0.000

Summary:
density = 2722 kg/m³
magnetization = 0.00 μB/f.u.
SG = Imm2, No. 44
energy of formation from the pure elements = 0.02 eV per atom
final energy = -7.2 eV for the cell shown

---

Entry 3:
A plane-wave DFT calculation with GGA-PBEsol was carried out for a relaxed structure of Sr3Mg.

Lattice parameters (Å, degrees): 6.381 6.849 7.815 90.00 90.00 90.00
Fractional coordinates of all 8 atoms:
Sr: 0.500 0.358 0.000
Sr: 0.000 0.642 0.500
Sr: 0.500 0.836 0.748
Sr: 0.000 0.164 0.752
Sr: 0.000 0.164 0.248
Sr: 0.500 0.836 0.252
Mg: 0.000 0.681 0.000
Mg: 0.500 0.319 0.500

Summary:
density = 2792 kg/m³
magnetization = 0.00 μB/f.u.
SG = Pmmn, No. 59
energy of formation from the pure elements = 0.03 eV per atom
final energy = -14.2 eV for the cell shown

---

Entry 4:
A plane-wave DFT calculation with GGA-PBEsol was carried out for a relaxed structure of Sr3Mg.

Lattice parameters (Å, degrees): 10.561 10.561 11.015 90.00 90.00 120.00
Fractional coordinates of all 24 atoms:
Sr: 0.265 0.265 0.761
Sr: 0.000 0.613 0.101
Sr: 0.000 0.387 0.601
Sr: 0.667 0.333 0.365
Sr: 0.735 0.735 0.261
Sr: 0.387 0.387 0.101
Sr: 0.265 0.000 0.261
Sr: 0.667 0.333 0.865
Sr: 0.333 0.667 0.365
Sr: 0.000 0.735 0.761
Sr: 0.735 0.000 0.761
Sr: 0.613 0.613 0.601
Sr: 0.387 0.000 0.601
Sr: 0.000 0.000 0.010
Sr: 0.613 0.000 0.101
Sr: 0.000 0.000 0.510
Sr: 0.333 0.667 0.865
Sr: 0.000 0.265 0.261
Mg: 0.324 0.000 0.931
Mg: 0.324 0.324 0.431
Mg: 0.000 0.324 0.931
Mg: 0.676 0.676 0.931
Mg: 0.676 0.000 0.431
Mg: 0.000 0.676 0.431

Summary:
density = 2689 kg/m³
magnetization = 0.00 μB/f.u.
SG = P6_3cm, No. 185
energy of formation from the pure elements = 0.01 eV per atom
final energy = -43.3 eV for the cell shown

---

Entry 5:
A plane-wave DFT calculation with GGA-PBEsol was carried out for a relaxed structure of SrMg.

Lattice parameters (Å, degrees): 3.855 6.087 6.744 109.77 106.61 90.00
Fractional coordinates of all 4 atoms:
Mg: 0.153 0.364 0.306
Mg: 0.847 0.636 0.694
Sr: 0.398 0.174 0.795
Sr: 0.602 0.826 0.205

Summary:
density = 2620 kg/m³
magnetization = 0.00 μB/f.u.
SG = C2/m, No. 12
energy of formation from the pure elements = -0.03 eV per atom
final energy = -7.2 eV for the cell shown

---

Entry 6:
A plane-wave DFT calculation with GGA-PBEsol was carried out for a relaxed structure of SrMg.

Lattice parameters (Å, degrees): 4.130 4.130 4.130 90.00 90.00 90.00
Fractional coordinates of all 2 atoms:
Mg: 0.500 0.500 0.500
Sr: 0.000 0.000 0.000

Summary:
density = 2638 kg/m³
magnetization = 0.00 μB/f.u.
SG = Pm-3m, No. 221
energy of formation from the pure elements = -0.06 eV per atom
final energy = -3.7 eV for the cell shown

---

Entry 7:
A plane-wave DFT calculation with GGA-PBEsol was carried out for a relaxed structure of Sr6Mg23.

Lattice parameters (Å, degrees): 10.450 10.450 10.450 60.00 60.00 60.00
Fractional coordinates of all 29 atoms:
Mg: 0.121 0.121 0.636
Mg: 0.326 0.326 0.326
Mg: 0.000 0.500 0.000
Mg: 0.500 0.000 0.000
Mg: 0.023 0.326 0.326
Mg: 0.000 0.000 0.000
Mg: 0.879 0.879 0.364
Mg: 0.636 0.121 0.121
Mg: 0.121 0.121 0.121
Mg: 0.879 0.879 0.879
Mg: 0.674 0.674 0.674
Mg: 0.326 0.326 0.023
Mg: 0.500 0.500 0.000
Mg: 0.121 0.636 0.121
Mg: 0.674 0.977 0.674
Mg: 0.977 0.674 0.674
Mg: 0.879 0.364 0.879
Mg: 0.326 0.023 0.326
Mg: 0.000 0.000 0.500
Mg: 0.500 0.000 0.500
Mg: 0.000 0.500 0.500
Mg: 0.674 0.674 0.977
Mg: 0.364 0.879 0.879
Sr: 0.294 0.706 0.294
Sr: 0.294 0.294 0.706
Sr: 0.294 0.706 0.706
Sr: 0.706 0.294 0.294
Sr: 0.706 0.706 0.294
Sr: 0.706 0.294 0.706

Summary:
density = 2232 kg/m³
magnetization = 0.01 μB/f.u.
SG = Fm-3m, No. 225
energy of formation from the pure elements = -0.08 eV per atom
final energy = -52.9 eV for the cell shown

---

Entry 8:
A plane-wave DFT calculation with GGA-PBEsol was carried out for a relaxed structure of Sr6Mg7.

Lattice parameters (Å, degrees): 6.529 6.529 12.673 75.07 75.07 60.00
Fractional coordinates of all 13 atoms:
Mg: 0.096 0.594 0.716
Mg: 0.594 0.096 0.716
Mg: 0.500 0.500 0.500
Mg: 0.594 0.594 0.716
Mg: 0.406 0.904 0.284
Mg: 0.904 0.406 0.284
Mg: 0.406 0.406 0.284
Sr: 0.948 0.948 0.157
Sr: 0.052 0.052 0.843
Sr: 0.153 0.153 0.541
Sr: 0.847 0.847 0.459
Sr: 0.669 0.669 0.993
Sr: 0.331 0.331 0.007

Summary:
density = 2587 kg/m³
magnetization = 0.00 μB/f.u.
SG = R-3m, No. 166
energy of formation from the pure elements = -0.05 eV per atom
final energy = -23.7 eV for the cell shown

---

Entry 9:
A plane-wave DFT calculation with GGA-PBEsol was carried out for a relaxed structure of SrMg.

Lattice parameters (Å, degrees): 5.301 6.697 6.697 105.97 90.00 90.00
Fractional coordinates of all 6 atoms:
Mg: 0.500 0.262 0.262
Mg: 0.000 0.323 0.033
Mg: 0.000 0.033 0.323
Sr: 0.000 0.582 0.582
Sr: 0.500 0.705 0.096
Sr: 0.500 0.096 0.705

Summary:
density = 2439 kg/m³
magnetization = 0.00 μB/f.u.
SG = Amm2, No. 38
energy of formation from the pure elements = 0.01 eV per atom
final energy = -10.6 eV for the cell shown

---

Entry 10:
A plane-wave DFT calculation with GGA-PBEsol was carried out for a relaxed structure of Sr17Mg12.

Lattice parameters (Å, degrees): 11.299 11.299 11.299 109.47 109.47 109.47
Fractional coordinates of all 29 atoms:
Mg: 0.643 0.000 0.824
Mg: 0.180 0.357 0.357
Mg: 0.824 0.643 0.000
Mg: 0.000 0.643 0.824
Mg: 0.824 0.000 0.643
Mg: 0.176 0.176 0.820
Mg: 0.000 0.824 0.643
Mg: 0.357 0.357 0.180
Mg: 0.176 0.820 0.176
Mg: 0.643 0.824 0.000
Mg: 0.820 0.176 0.176
Mg: 0.357 0.180 0.357
Sr: 0.664 0.664 0.664
Sr: 0.000 0.600 0.312
Sr: 0.000 0.000 0.000
Sr: 0.312 0.000 0.600
Sr: 0.336 0.000 0.000
Sr: 0.000 0.312 0.600
Sr: 0.600 0.000 0.312
Sr: 0.600 0.312 0.000
Sr: 0.400 0.713 0.400
Sr: 0.000 0.336 0.000
Sr: 0.312 0.600 0.000
Sr: 0.688 0.688 0.287
Sr: 0.000 0.000 0.336
Sr: 0.713 0.400 0.400
Sr: 0.400 0.400 0.713
Sr: 0.688 0.287 0.688
Sr: 0.287 0.688 0.688

Summary:
density = 2663 kg/m³
magnetization = 0.00 μB/f.u.
SG = I-43m, No. 217
energy of formation from the pure elements = 0.01 eV per atom
final energy = -51.7 eV for the cell shown

---

Entry 11:
A plane-wave DFT calculation with GGA-PBEsol was carried out for a relaxed structure of Sr3Mg.

Lattice parameters (Å, degrees): 5.568 5.568 5.568 90.00 90.00 90.00
Fractional coordinates of all 4 atoms:
Sr: 0.000 0.000 0.500
Sr: 0.500 0.000 0.000
Sr: 0.000 0.500 0.000
Mg: 0.500 0.500 0.500

Summary:
density = 2762 kg/m³
magnetization = 0.00 μB/f.u.
SG = Pm-3m, No. 221
energy of formation from the pure elements = 0.04 eV per atom
final energy = -7.1 eV for the cell shown

---

Entry 12:
A plane-wave DFT calculation with GGA-PBEsol was carried out for a relaxed structure of Sr4Mg3.

Lattice parameters (Å, degrees): 6.599 6.599 7.051 90.00 90.00 120.00
Fractional coordinates of all 7 atoms:
Mg: 0.500 0.000 0.000
Mg: 0.000 0.500 0.000
Mg: 0.500 0.500 0.000
Sr: 0.000 0.000 0.242
Sr: 0.667 0.333 0.500
Sr: 0.333 0.667 0.500
Sr: 0.000 0.000 0.758

Summary:
density = 2644 kg/m³
magnetization = 0.00 μB/f.u.
SG = P6/mmm, No. 191
energy of formation from the pure elements = 0.01 eV per atom
final energy = -12.5 eV for the cell shown

---

Q: Look up the magnetization of the third one.
A: 0.00 μB/f.u.

---

Q: Look up the density of the third one.
A: 2792 kg/m³

---

What did the third record say?
A plane-wave DFT calculation with GGA-PBEsol was carried out for a relaxed structure of Sr3Mg.

Lattice parameters (Å, degrees): 6.381 6.849 7.815 90.00 90.00 90.00
Fractional coordinates of all 8 atoms:
Sr: 0.500 0.358 0.000
Sr: 0.000 0.642 0.500
Sr: 0.500 0.836 0.748
Sr: 0.000 0.164 0.752
Sr: 0.000 0.164 0.248
Sr: 0.500 0.836 0.252
Mg: 0.000 0.681 0.000
Mg: 0.500 0.319 0.500

Summary:
density = 2792 kg/m³
magnetization = 0.00 μB/f.u.
SG = Pmmn, No. 59
energy of formation from the pure elements = 0.03 eV per atom
final energy = -14.2 eV for the cell shown